# 1
NdGePt: optimized geometry, PBE.

## Properties
Its total energy is -6.20 eV per atom. Its density of states at the Fermi level is 0.9 states/eV/f.u. The calculation puts the calculated formation energy at -1.053 eV per atom. Its theoretical density is 10561 kg/m³.

Unit cell a=3.7330 b=4.4762 c=4.4762 alpha=120.00 beta=90.00 gamma=90.00
Positions (direct):
Ge  0.1666  0.3333  0.6667
Nd  0.6666  0.6667  0.3333
Pt  0.1667  0.0000  0.0000

# 2
NdGe2Pt3: optimized geometry, PBE.

## Properties
Its total energy is -6.21 eV per atom. Its density of states at the Fermi level is 2.8 states/eV/f.u. The calculation puts the calculated formation energy at -0.856 eV per atom. Its theoretical density is 13044 kg/m³.

Unit cell a=4.1038 b=8.6097 c=10.1867 alpha=106.60 beta=90.00 gamma=103.79
Positions (direct):
Nd  0.1540  0.3079  0.6926
Nd  0.8460  0.6921  0.3074
Nd  0.0000  0.0000  0.0000
Ge  0.2002  0.4004  0.1312
Ge  0.7998  0.5996  0.8688
Ge  0.4635  0.9269  0.2223
Ge  0.5365  0.0731  0.7777
Ge  0.3620  0.7239  0.5493
Ge  0.6380  0.2761  0.4507
Pt  0.0411  0.0822  0.3307
Pt  0.9589  0.9178  0.6693
Pt  0.2218  0.4436  0.3889
Pt  0.7782  0.5564  0.6111
Pt  0.6213  0.2426  0.1950
Pt  0.3787  0.7574  0.8050
Pt  0.5000  0.0000  0.5000
Pt  0.3256  0.6513  0.0448
Pt  0.6744  0.3487  0.9552

# 3
Nd2Ge7Pt12: optimized geometry, PBE.

## Properties
Its total energy is -6.10 eV per atom. Its density of states at the Fermi level is 8.0 states/eV/f.u. The calculation puts the calculated formation energy at -0.659 eV per atom. Its theoretical density is 14229 kg/m³.

Unit cell a=4.0458 b=10.2233 c=10.2233 alpha=120.00 beta=90.00 gamma=90.00
Positions (direct):
Nd  0.5000  0.0000  0.0000
Nd  0.0000  0.6667  0.3333
Ge  0.0000  0.3333  0.6667
Ge  0.0000  0.0591  0.7882
Ge  0.0000  0.7291  0.9409
Ge  0.0000  0.2118  0.2709
Ge  0.5000  0.6333  0.5601
Ge  0.5000  0.9268  0.3667
Ge  0.5000  0.4399  0.0732
Pt  0.5000  0.8917  0.5959
Pt  0.5000  0.7042  0.1083
Pt  0.5000  0.4041  0.2958
Pt  0.5000  0.2285  0.8020
Pt  0.5000  0.5735  0.7715
Pt  0.5000  0.1980  0.4265
Pt  0.0000  0.0579  0.5381
Pt  0.0000  0.4802  0.9421
Pt  0.0000  0.4619  0.5198
Pt  0.0000  0.7942  0.7359
Pt  0.0000  0.9417  0.2058
Pt  0.0000  0.2641  0.0583

# 4
Nd4Ge8Pt: optimized geometry, PBE.

## Properties
Its total energy is -5.44 eV per atom. Its density of states at the Fermi level is 6.3 states/eV/f.u. The calculation puts the calculated formation energy at -0.672 eV per atom. Its theoretical density is 7603 kg/m³.

Unit cell a=4.1058 b=4.2408 c=16.9742 alpha=90.00 beta=90.00 gamma=90.00
Positions (direct):
Nd  0.0000  0.0000  0.1015
Nd  0.0000  0.5000  0.6094
Nd  0.5000  0.5000  0.3985
Nd  0.5000  0.0000  0.8933
Ge  0.0000  0.0000  0.4649
Ge  0.0000  0.5000  0.9460
Ge  0.5000  0.5000  0.0409
Ge  0.5000  0.0000  0.5572
Ge  0.0000  0.5000  0.2356
Ge  0.0000  0.0000  0.7486
Ge  0.5000  0.0000  0.2341
Ge  0.5000  0.5000  0.7542
Pt  0.0000  0.0000  0.3186

# 5
Nd3Ge2Pt4: optimized geometry, PBE.

## Properties
Its total energy is -6.36 eV per atom. Its density of states at the Fermi level is 4.5 states/eV/f.u. The calculation puts the calculated formation energy at -1.058 eV per atom. Its theoretical density is 11657 kg/m³.

Unit cell a=4.4475 b=5.7861 c=8.7823 alpha=110.21 beta=90.00 gamma=112.60
Positions (direct):
Nd  0.6361  0.2723  0.6915
Nd  0.0000  0.0000  0.0000
Nd  0.3639  0.7277  0.3085
Ge  0.6608  0.3217  0.3269
Ge  0.3392  0.6783  0.6731
Pt  0.7187  0.4373  0.0733
Pt  0.2813  0.5627  0.9267
Pt  0.9030  0.8060  0.5845
Pt  0.0970  0.1940  0.4155

# 6
NdPuGePt: optimized geometry, PBE.

## Properties
Its total energy is -8.08 eV per atom. Its density of states at the Fermi level is 10.9 states/eV/f.u. The calculation puts the calculated formation energy at -0.638 eV per atom. Its theoretical density is 11555 kg/m³.

Unit cell a=5.1084 b=5.1084 c=5.1084 alpha=60.00 beta=60.00 gamma=60.00
Last column: magnetic moment on the atom in μB.
Positions (direct):
Ge  0.5000  0.5000  0.5000  -0.10
Nd  0.2500  0.2500  0.2500  0.04
Pt  0.0000  0.0000  0.0000  -0.12
Pu  0.7500  0.7500  0.7500  5.24

# 7
Nd2PuGe4Pt3: optimized geometry, PBE.

## Properties
Its total energy is -6.82 eV per atom. Its density of states at the Fermi level is 14.3 states/eV/f.u. The calculation puts the calculated formation energy at -0.770 eV per atom. Its theoretical density is 10986 kg/m³.

Unit cell a=4.3129 b=4.3129 c=11.4438 alpha=90.00 beta=90.00 gamma=90.00
Last column: magnetic moment on the atom in μB.
Positions (direct):
Nd  0.5000  0.0000  0.2302  0.02
Nd  0.0000  0.5000  0.7698  0.02
Pu  0.5000  0.5000  0.5000  5.10
Ge  0.5000  0.5000  0.0000  0.01
Ge  0.0000  0.0000  0.0000  0.00
Ge  0.5000  0.0000  0.6676  -0.02
Ge  0.0000  0.5000  0.3324  -0.02
Pt  0.0000  0.0000  0.5000  -0.06
Pt  0.5000  0.0000  0.8836  0.01
Pt  0.0000  0.5000  0.1164  0.01

# 8
NdGePtRh: optimized geometry, PBE.

## Properties
Its total energy is -6.39 eV per atom. Its density of states at the Fermi level is 2.2 states/eV/f.u. The calculation puts the calculated formation energy at -0.700 eV per atom. Its theoretical density is 9849 kg/m³.

Unit cell a=4.0494 b=4.1615 c=5.9130 alpha=110.60 beta=110.02 gamma=90.00
Positions (direct):
Nd  0.9677  0.9677  0.9354
Ge  0.2157  0.7157  0.4314
Pt  0.3380  0.3380  0.6760
Rh  0.5939  0.5939  0.1878